DFT (PBE-GGA) results for Ti3BeRe2 after structural relaxation.

The structure in CIF format:
```
data_Ti3BeRe2
_chemical_formula_sum 'Ti3 Be1 Re2'
_cell_length_a 3.127
_cell_length_b 3.127
_cell_length_c 8.927
_cell_angle_alpha 90.00
_cell_angle_beta 90.00
_cell_angle_gamma 90.00
_symmetry_space_group_name_H-M 'P 1'
_symmetry_Int_Tables_number 1
loop_
_symmetry_equiv_pos_as_xyz
'x,y,z'
loop_
_atom_site_label
_atom_site_fract_x
_atom_site_fract_y
_atom_site_fract_z
Ti1 0.000 0.000 0.000
Ti2 0.000 0.000 0.658
Ti3 0.000 0.000 0.342
Be1 0.500 0.500 0.500
Re1 0.500 0.500 0.822
Re2 0.500 0.500 0.178
```

- calculated formation energy (eV/atom) = -0.32
- symmetry = P4/mmm